[1]
A plane-wave DFT calculation with PBE-GGA was carried out for a relaxed Rb8CdAu2O crystal.

Computed properties:
- Formation energy from raw total energies: -0.294 eV per atom
- M_tot: 0.31 μB/f.u.

a = 8.0363 Å, b = 7.8993 Å, c = 10.1209 Å
α = 89.42°, β = 90.11°, γ = 87.48°
With the nearest neighbours (Å) after each atom.
Sites, in units of the cell vectors:
Rb (0.6313, 0.7161, 0.4994)  2 Au 3.56, 1 Cd 3.79
Rb (0.1551, 0.7911, 0.1948)  1 O 2.81
Rb (0.2742, 0.2270, 0.0026)  1 O 2.90
Rb (0.7258, 0.7730, 0.9974)  1 O 2.90
Rb (0.3687, 0.2839, 0.5006)  2 Au 3.56, 1 Cd 3.79
Rb (0.8388, 0.2064, 0.1908)  1 O 2.82
Rb (0.1612, 0.7936, 0.8092)  1 O 2.82
Rb (0.8449, 0.2089, 0.8052)  1 O 2.81
O (0.0000, 0.0000, 0.0000)  6 Rb 2.81-2.90
Cd (0.0000, 0.0000, 0.5000)  6 Rb 3.71-3.79
Au (0.4995, 0.5021, 0.2126)  6 Rb 3.51-3.60
Au (0.5005, 0.4979, 0.7874)  6 Rb 3.51-3.60

=====

[2]
A plane-wave DFT calculation with PBE-GGA was carried out for a relaxed ScGaH2 crystal.

Computed properties:
- Relative energy among the computed polymorphs: 107 meV/atom
- M_tot: 0.00 μB/f.u.

a = 3.9068 Å, b = 3.9068 Å, c = 3.9068 Å
α = 60.00°, β = 60.00°, γ = 60.00°
With the nearest neighbours (Å) after each atom.
Sites, in units of the cell vectors:
Ga (0.5000, 0.5000, 0.5000)  8 H 2.39
Sc (0.0000, 0.0000, 0.0000)  8 H 2.39
H (0.7500, 0.7500, 0.7500)  4 Ga 2.39, 4 Sc 2.39
H (0.2500, 0.2500, 0.2500)  4 Ga 2.39, 4 Sc 2.39

=====

[3]
A plane-wave DFT calculation with PBE-GGA was carried out for a relaxed Be2SbPd2 crystal.

Computed properties:
- Relative energy among the computed polymorphs: 41 meV/atom
- Formation energy from raw total energies: -0.207 eV per atom
- M_tot: 0.00 μB/f.u.

a = 7.0572 Å, b = 7.0572 Å, c = 2.9155 Å
α = 90.00°, β = 90.00°, γ = 90.00°
With the nearest neighbours (Å) after each atom.
Sites, in units of the cell vectors:
Be (0.1356, 0.6356, 0.5000)  6 Pd 2.46-2.63, 1 Be 2.71
Be (0.6356, 0.8644, 0.5000)  6 Pd 2.46-2.63, 1 Be 2.71
Be (0.8644, 0.3644, 0.5000)  6 Pd 2.46-2.63, 1 Be 2.71
Be (0.3644, 0.1356, 0.5000)  6 Pd 2.46-2.63, 1 Be 2.71
Sb (0.5000, 0.5000, 0.0000)  4 Pd 2.70, 2 Sb 2.92
Sb (0.0000, 0.0000, 0.0000)  4 Pd 2.70, 2 Sb 2.92
Pd (0.6454, 0.1454, 0.0000)  6 Be 2.46-2.63, 2 Sb 2.70
Pd (0.8546, 0.6454, 0.0000)  6 Be 2.46-2.63, 2 Sb 2.70
Pd (0.3546, 0.8546, 0.0000)  6 Be 2.46-2.63, 2 Sb 2.70
Pd (0.1454, 0.3546, 0.0000)  6 Be 2.46-2.63, 2 Sb 2.70

=====

[4]
A plane-wave DFT calculation with PBE-GGA was carried out for a relaxed KTbAgCl5 crystal.

Computed properties:
- Formation energy from raw total energies: -1.758 eV per atom
- M_tot: 0.00 μB/f.u.

a = 7.6154 Å, b = 7.6154 Å, c = 10.1086 Å
α = 102.16°, β = 102.16°, γ = 109.90°
With the nearest neighbours (Å) after each atom.
Sites, in units of the cell vectors:
Cl (0.2545, 0.3664, 0.5592)  1 Ag 2.61, 1 Tb 2.65
Cl (0.0765, 0.9235, 0.2500)  2 Tb 2.70
Cl (0.9215, 0.3073, 0.0991)  1 Ag 2.58, 1 Tb 2.66
Cl (0.0785, 0.6927, 0.9009)  1 Ag 2.58, 1 Tb 2.66
Cl (0.3073, 0.9215, 0.5991)  1 Ag 2.58, 1 Tb 2.66
Cl (0.6927, 0.0785, 0.4009)  1 Ag 2.58, 1 Tb 2.66
Cl (0.9235, 0.0765, 0.7500)  2 Tb 2.70
Cl (0.7455, 0.6336, 0.4408)  1 Ag 2.61, 1 Tb 2.65
Cl (0.6336, 0.7455, 0.9408)  1 Ag 2.61, 1 Tb 2.65
Cl (0.3664, 0.2545, 0.0592)  1 Ag 2.61, 1 Tb 2.65
Tb (0.0000, 0.0000, 0.5000)  6 Cl 2.65-2.70
Tb (0.0000, 0.0000, 0.0000)  6 Cl 2.65-2.70
K (0.3478, 0.6522, 0.2500)  5 Cl 3.19-3.38
K (0.6522, 0.3478, 0.7500)  5 Cl 3.19-3.38
Ag (0.6878, 0.3122, 0.2500)  4 Cl 2.58-2.61
Ag (0.3122, 0.6878, 0.7500)  4 Cl 2.58-2.61

=====

[5]
A plane-wave DFT calculation with PBE-GGA was carried out for a relaxed PmYMnCu crystal.

Computed properties:
- Formation enthalpy at 0 K: 67 meV per atom
- M_tot: 3.09 μB/f.u.

a = 5.0331 Å, b = 5.0331 Å, c = 5.0331 Å
α = 60.00°, β = 60.00°, γ = 60.00°
With the nearest neighbours (Å) after each atom.
Sites, in units of the cell vectors:
Cu (0.0000, 0.0000, 0.0000)  4 Pm 3.08, 4 Y 3.08
Y (0.2500, 0.2500, 0.2500)  4 Mn 3.08, 4 Cu 3.08
Pm (0.7500, 0.7500, 0.7500)  4 Cu 3.08, 4 Mn 3.08
Mn (0.5000, 0.5000, 0.5000)  4 Pm 3.08, 4 Y 3.08

=====

[6]
A plane-wave DFT calculation with PBE-GGA was carried out for a relaxed DyMgRuRh crystal.

Computed properties:
- Formation enthalpy at 0 K: -382 meV per atom
- M_tot: 0.00 μB/f.u.

a = 4.6264 Å, b = 4.6264 Å, c = 4.6264 Å
α = 60.00°, β = 60.00°, γ = 60.00°
With the nearest neighbours (Å) after each atom.
Sites, in units of the cell vectors:
Dy (0.2500, 0.2500, 0.2500)  4 Ru 2.83, 4 Rh 2.83
Ru (0.0000, 0.0000, 0.0000)  4 Dy 2.83, 4 Mg 2.83
Rh (0.5000, 0.5000, 0.5000)  4 Dy 2.83, 4 Mg 2.83
Mg (0.7500, 0.7500, 0.7500)  4 Ru 2.83, 4 Rh 2.83

=====

[7]
A plane-wave DFT calculation with PBE-GGA was carried out for a relaxed POsCS crystal.

Computed properties:
- Relative energy among the computed polymorphs: 0 meV/atom
- Formation energy from raw total energies: 0.322 eV per atom
- M_tot: 0.00 μB/f.u.

a = 2.9464 Å, b = 2.9464 Å, c = 8.0232 Å
α = 90.00°, β = 90.00°, γ = 120.00°
With the nearest neighbours (Å) after each atom.
Sites, in units of the cell vectors:
P (0.6667, 0.3333, 0.6085)  3 C 1.89
Os (0.3333, 0.6667, 0.2431)  1 C 2.12, 3 S 2.30
C (0.3333, 0.6667, 0.5072)  3 P 1.89
S (0.0000, 0.0000, 0.0500)  3 Os 2.30

=====

[8]
A plane-wave DFT calculation with PBE-GGA was carried out for a relaxed SrPdW crystal.

Computed properties:
- Relative energy among the computed polymorphs: 135 meV/atom
- Formation enthalpy at 0 K: 288 meV per atom
- M_tot: 0.00 μB/f.u.

a = 3.2875 Å, b = 8.0750 Å, c = 5.8018 Å
α = 98.47°, β = 73.72°, γ = 90.49°
With the nearest neighbours (Å) after each atom.
Sites, in units of the cell vectors:
Sr (0.1079, 0.7167, 0.0916)  4 Pd 3.18-3.21, 2 Sr 3.29, 3 W 3.42-3.53
Sr (0.8922, 0.3657, 0.5315)  5 Pd 2.95-3.17, 2 Sr 3.29
Pd (0.6155, 0.3772, 0.0633)  2 W 2.74, 1 Sr 2.95
Pd (0.4979, 0.0434, 0.3151)  4 W 2.76-2.84
W (0.1770, 0.1080, 0.9287)  2 W 2.47, 2 Pd 2.74
W (0.8019, 0.9374, 0.6693)  2 W 2.47

=====

Calculated volume list, top to bottom, in Å³/atom: 53.49; 10.54; 14.52; 32.05; 22.54; 17.50; 15.08; 24.36
Mass density list, top to bottom, in g/cm³: 3.12; 4.60; 8.07; 3.13; 6.49; 9.27; 7.30; 8.59
DOS at the Fermi energy list, top to bottom, in states/eV per atom: 0.53; 0.23; 0.51; 0.00; 1.08; 0.66; 0.15; 1.08